*w*
Ca2TiV | PBE-GGA | relaxed

Geometry as POSCAR:
```
Ca2TiV
1.0
-3.5867 5.7563 4.8342
1.2601 -4.8201 6.6745
1.5433 1.7851 6.1943
Ca V Ti
4 2 2
direct
0.1119 0.6250 0.2500 Ca
0.8750 0.8881 0.7500 Ca
0.3750 0.3619 0.7500 Ca
0.6381 0.1250 0.2500 Ca
0.7500 0.2500 0.5000 V
0.0000 0.0000 0.0000 V
0.2500 0.7500 0.5000 Ti
0.5000 0.5000 0.0000 Ti
```

Summary:
Its space-group type is I-42d, No. 122. As for the density of states at the Fermi level: 11.200 states/eV/cell. As for the spin magnetization: 9.38 Bohr magnetons per cell.

=====

*x*
Ca2TiV | PBE-GGA | relaxed

Geometry as POSCAR:
```
Ca2TiV
1.0
0.0168 -4.8126 -2.2700
-4.5986 -2.3758 -1.2338
-1.4307 -0.5429 -5.0963
Ca Ti V
2 1 1
direct
0.2500 0.2500 0.2500 Ca
0.7500 0.7500 0.7500 Ca
0.0000 0.0000 0.0000 Ti
0.5000 0.5000 0.5000 V
```

Summary:
Its space-group type is Fm-3m, No. 225. As for the density of states at the Fermi level: 7.421 states/eV/cell. As for the spin magnetization: 1.18 Bohr magnetons per cell.

=====

It turns out *x* is the most stable, with the second structure 240 meV per atom higher.

=====

*w*
CaTi3V | PBE-GGA | relaxed

Geometry as POSCAR:
```
CaTi3V
1.0
4.6234 0.0000 0.0000
0.0000 4.6234 0.0000
0.0000 0.0000 4.6234
V Ti Ca
1 3 1
direct
0.5000 0.5000 0.5000 V
0.0000 0.5000 0.0000 Ti
0.5000 0.0000 0.0000 Ti
0.0000 0.0000 0.5000 Ti
0.0000 0.0000 0.0000 Ca
```

Summary:
Its space-group type is Pm-3m, No. 221. As for the density of states at the Fermi level: 11.039 states/eV/cell. As for the spin magnetization: 0.90 Bohr magnetons per cell.

=====

*x*
CaTi3V | PBE-GGA | relaxed

Geometry as POSCAR:
```
CaTi3V
1.0
4.7528 0.0000 0.0000
0.0000 4.7528 0.0000
0.0000 0.0000 4.7528
Ca V Ti
1 1 3
direct
0.5000 0.5000 0.5000 Ca
0.0000 0.0000 0.0000 V
0.5000 0.0000 0.0000 Ti
0.0000 0.0000 0.5000 Ti
0.0000 0.5000 0.0000 Ti
```

Summary:
Its space-group type is Pm-3m, No. 221. As for the density of states at the Fermi level: 10.056 states/eV/cell. As for the spin magnetization: 0.98 Bohr magnetons per cell.

=====

It turns out *x* is the most stable, with the second structure 1272 meV per atom higher.

=====

*w*
Ca2TiW | PBE-GGA | relaxed

Geometry as POSCAR:
```
Ca2TiW
1.0
-5.4177 3.8666 5.0023
3.8315 -3.2322 6.6481
0.8794 2.5214 5.9329
W Ca Ti
2 4 2
direct
0.7500 0.2500 0.5000 W
0.0000 0.0000 0.0000 W
0.1195 0.6250 0.2500 Ca
0.3750 0.3695 0.7500 Ca
0.8750 0.8805 0.7500 Ca
0.6305 0.1250 0.2500 Ca
0.5000 0.5000 0.0000 Ti
0.2500 0.7500 0.5000 Ti
```

Summary:
Its space-group type is I-42d, No. 122. As for the density of states at the Fermi level: 6.514 states/eV/cell. As for the spin magnetization: 0.00 Bohr magnetons per cell.

=====

*x*
Ca2TiW | PBE-GGA | relaxed

Geometry as POSCAR:
```
Ca2TiW
1.0
0.0000 3.6119 3.6119
3.6119 0.0000 3.6119
3.6119 3.6119 0.0000
W Ca Ti
1 2 1
direct
0.5000 0.5000 0.5000 W
0.2500 0.2500 0.2500 Ca
0.7500 0.7500 0.7500 Ca
0.0000 0.0000 0.0000 Ti
```

Summary:
Its space-group type is Fm-3m, No. 225. As for the density of states at the Fermi level: 9.586 states/eV/cell. As for the spin magnetization: 0.00 Bohr magnetons per cell.

=====

It turns out *x* is the most stable, with the second structure 117 meV per atom higher.